PBE-GGA LaPtPb2, optimized geometry; DOS(E_F) = 0.7952 states/eV/atom; magnetization = 0.0 μB per cell; E_form = -1.19 eV per formula unit; polymorph energy (0 for the lowest one) = 263.4 meV/atom; space group = Fm-3m; density = 12.12 g/cm3
1.0
0.000 3.715 3.715
3.715 0.000 3.715
3.715 3.715 0.000
La Pt Pb
1 1 2
Direct
0.000 0.000 0.000
0.500 0.500 0.500
0.250 0.250 0.250
0.750 0.750 0.750